No. 1
Material: SmEuMgHg
Method: DFT, GGA-PBE
State: optimized geometry

a = 5.470 Å, b = 5.470 Å, c = 5.470 Å
α = 60.00°, β = 60.00°, γ = 60.00°
Positions (direct):
Eu  0.250  0.250  0.250
Mg  0.500  0.500  0.500
Hg  0.000  0.000  0.000
Sm  0.750  0.750  0.750

Computed properties:
- ΔE_f: -266 meV/atom
- SG: F-43m (216)


No. 2
Material: Tm7Cu2Ru2
Method: DFT, GGA-PBE
State: optimized geometry

a = 6.441 Å, b = 7.041 Å, c = 6.441 Å
α = 90.00°, β = 113.13°, γ = 90.00°
Positions (direct):
Tm  0.000  0.272  0.500
Tm  0.500  0.728  0.000
Tm  0.000  0.728  0.500
Tm  0.500  0.272  0.000
Tm  0.000  0.000  0.000
Tm  0.500  0.745  0.500
Tm  0.500  0.255  0.500
Cu  0.831  0.500  0.831
Cu  0.169  0.500  0.169
Ru  0.694  0.000  0.306
Ru  0.306  0.000  0.694

Computed properties:
- ΔE_f: -141 meV/atom
- SG: Cmmm (65)


No. 3
Material: Ho2ScTe2
Method: DFT, GGA-PBE
State: optimized geometry

a = 5.995 Å, b = 7.210 Å, c = 8.146 Å
α = 113.63°, β = 90.00°, γ = 114.56°
Positions (direct):
Ho  0.719  0.437  0.698
Ho  0.281  0.563  0.302
Ho  0.051  0.101  0.838
Ho  0.949  0.899  0.162
Sc  0.352  0.704  0.910
Sc  0.648  0.296  0.090
Te  0.161  0.321  0.562
Te  0.839  0.679  0.438
Te  0.510  0.020  0.286
Te  0.490  0.980  0.714

Computed properties:
- SG: C2/m (12)
- Raw formation energy: -904.1 meV/atom


No. 4
Material: LaPu2Mn
Method: DFT, GGA-PBE
State: optimized geometry

a = 4.303 Å, b = 4.303 Å, c = 6.059 Å
α = 69.20°, β = 69.20°, γ = 60.00°
Positions (direct):
La  0.500  0.500  0.500
Mn  0.000  0.000  0.000
Pu  0.329  0.329  0.012
Pu  0.671  0.671  0.988

Computed properties:
- ΔE_f: 424 meV/atom
- SG: R-3m (166)


No. 5
Material: RbLi2TeCl
Method: DFT, GGA-PBE
State: optimized geometry

a = 4.529 Å, b = 4.529 Å, c = 7.821 Å
α = 106.83°, β = 106.83°, γ = 90.00°
Positions (direct):
Rb  0.515  0.515  0.030
Li  0.751  0.251  0.501
Li  0.251  0.751  0.501
Te  0.146  0.146  0.292
Cl  0.838  0.838  0.677

Computed properties:
- SG: I4mm (107)
- Raw formation energy: -1330.5 meV/atom


No. 6
Material: ZrZn8N6
Method: DFT, GGA-PBE
State: optimized geometry

a = 5.681 Å, b = 5.681 Å, c = 15.852 Å
α = 90.00°, β = 90.00°, γ = 120.00°
Positions (direct):
Zr  0.000  0.000  0.467
Zr  0.000  0.000  0.967
Zn  0.691  0.691  0.289
Zn  0.687  0.687  0.661
Zn  0.313  0.313  0.161
Zn  0.309  0.309  0.789
Zn  0.667  0.333  0.932
Zn  0.667  0.333  0.432
Zn  0.309  0.000  0.289
Zn  0.313  0.000  0.661
Zn  0.687  0.000  0.161
Zn  0.000  0.691  0.789
Zn  0.691  0.000  0.789
Zn  0.000  0.687  0.161
Zn  0.333  0.667  0.432
Zn  0.333  0.667  0.932
Zn  0.000  0.313  0.661
Zn  0.000  0.309  0.289
N  0.670  0.670  0.414
N  0.330  0.330  0.914
N  0.667  0.333  0.711
N  0.000  0.000  0.601
N  0.000  0.000  0.101
N  0.667  0.333  0.211
N  0.330  0.000  0.414
N  0.000  0.670  0.914
N  0.670  0.000  0.914
N  0.333  0.667  0.211
N  0.333  0.667  0.711
N  0.000  0.330  0.414

Computed properties:
- SG: P6_3cm (185)
- Raw formation energy: -18.6 meV/atom


No. 7
Material: Tl4Cl2O
Method: DFT, GGA-PBE
State: optimized geometry

a = 5.397 Å, b = 5.397 Å, c = 9.054 Å
α = 107.34°, β = 107.34°, γ = 90.00°
Positions (direct):
Tl  0.851  0.851  0.702
Tl  0.149  0.149  0.298
Tl  0.000  0.500  0.000
Tl  0.500  0.000  0.000
O  0.000  0.000  0.000
Cl  0.625  0.625  0.251
Cl  0.375  0.375  0.749

Computed properties:
- SG: I4/mmm (139)
- Raw formation energy: -677.0 meV/atom


No. 8
Material: Pr3PuTl3Se8
Method: DFT, GGA-PBE
State: optimized geometry

a = 8.622 Å, b = 8.621 Å, c = 9.233 Å
α = 117.86°, β = 90.00°, γ = 120.00°
Positions (direct):
Pr  0.500  0.000  0.500
Pr  0.500  0.500  0.500
Pr  0.000  0.500  0.500
Pu  0.000  0.000  0.500
Tl  0.000  0.000  0.000
Tl  0.000  0.500  0.000
Tl  0.500  0.500  0.000
Se  0.262  0.524  0.287
Se  0.738  0.476  0.713
Se  0.773  0.546  0.296
Se  0.227  0.454  0.704
Se  0.773  0.023  0.296
Se  0.227  0.977  0.704
Se  0.250  0.023  0.296
Se  0.750  0.977  0.704

Computed properties:
- SG: R-3m (166)
- Raw formation energy: -1333.9 meV/atom


No. 9
Material: NbReCl3
Method: DFT, GGA-PBE
State: optimized geometry

a = 5.093 Å, b = 5.093 Å, c = 5.093 Å
α = 90.00°, β = 90.00°, γ = 90.00°
Positions (direct):
Re  0.500  0.500  0.500
Nb  0.000  0.000  0.000
Cl  0.000  0.500  0.000
Cl  0.000  0.000  0.500
Cl  0.500  0.000  0.000

Computed properties:
- SG: Pm-3m (221)
- Raw formation energy: 734.0 meV/atom


No. 10
Material: CoPRh2
Method: DFT, GGA-PBE
State: optimized geometry

a = 2.811 Å, b = 3.713 Å, c = 5.090 Å
α = 90.00°, β = 90.00°, γ = 90.00°
Positions (direct):
Co  0.000  0.000  0.469
P  0.500  0.500  0.780
Rh  0.000  0.000  0.956
Rh  0.500  0.500  0.295

Computed properties:
- ΔE_f: -66 meV/atom
- SG: Pmm2 (25)


No. 11
Material: Sm2HoErTm2
Method: DFT, GGA-PBE
State: optimized geometry

a = 5.588 Å, b = 9.644 Å, c = 6.998 Å
α = 90.00°, β = 90.00°, γ = 90.00°
Positions (direct):
Sm  0.500  0.833  0.250
Sm  0.500  0.167  0.750
Sm  0.000  0.667  0.750
Sm  0.000  0.333  0.250
Ho  0.500  0.500  0.000
Ho  0.000  0.000  0.500
Er  0.000  0.000  0.000
Er  0.500  0.500  0.500
Tm  0.500  0.167  0.250
Tm  0.000  0.667  0.250
Tm  0.500  0.833  0.750
Tm  0.000  0.333  0.750

Computed properties:
- ΔE_f: 69 meV/atom
- SG: Pnnm (58)


No. 12
Material: Sr3Ga4Au4
Method: DFT, GGA-PBE
State: optimized geometry

a = 4.582 Å, b = 4.215 Å, c = 14.134 Å
α = 98.57°, β = 99.33°, γ = 90.00°
Positions (direct):
Sr  0.352  0.852  0.704
Sr  0.648  0.148  0.296
Sr  0.000  0.000  0.000
Ga  0.252  0.252  0.504
Ga  0.098  0.598  0.196
Ga  0.902  0.402  0.804
Ga  0.748  0.748  0.496
Au  0.807  0.307  0.614
Au  0.447  0.447  0.894
Au  0.553  0.553  0.106
Au  0.193  0.693  0.386

Computed properties:
- ΔE_f: -634 meV/atom
- SG: Immm (71)


| no. | uncorrected energy (eV for the cell shown) |
| --- | --- |
| 1 | -17.95 |
| 2 | -59.60 |
| 3 | -52.58 |
| 4 | -41.06 |
| 5 | -16.44 |
| 6 | -137.94 |
| 7 | -22.86 |
| 8 | -83.65 |
| 9 | -24.39 |
| 10 | -27.48 |
| 11 | -54.21 |
| 12 | -37.24 |